This record from Alexandria describes a relaxed ZrTiPb2 crystal. The functional is PBE-GGA.

Calculated values
- energy (eV/atom) = -5.824
- space-group type = Fm-3m (225)
- ΔE to the lowest computed polymorph (meV per atom) = 105
- size of the total moment (μB/f.u.) = 0.00
- energy relative to the elements (eV per atom) = 0.14
- density (g/cm³) = 10.09

Lattice parameters (Å, degrees): 5.0511 5.0511 5.0511 60.00 60.00 60.00
Last column: nearest neighbours and their distance in Å.
Element x y z (fractional)
1 Ti 0.0000 0.0000 0.0000  8 Pb 3.09
2 Pb 0.7500 0.7500 0.7500  4 Zr 3.09, 4 Ti 3.09
3 Pb 0.2500 0.2500 0.2500  4 Zr 3.09, 4 Ti 3.09
4 Zr 0.5000 0.5000 0.5000  8 Pb 3.09



This record from Alexandria describes a relaxed LiOs2Pb crystal. The functional is PBE-GGA.

Calculated values
- energy (eV/atom) = -6.282
- space-group type = I4/mmm (139)
- size of the total moment (μB/f.u.) = 0.00
- energy relative to the elements (eV per atom) = 0.74
- density (g/cm³) = 15.23

Lattice parameters (Å, degrees): 5.1571 5.1571 5.1571 136.21 136.21 63.65
Last column: nearest neighbours and their distance in Å.
Element x y z (fractional)
1 Pb 0.2500 0.7500 0.5000  4 Li 2.72, 8 Os 2.92
2 Li 0.7500 0.2500 0.5000  4 Pb 2.72, 8 Os 2.92
3 Os 0.5000 0.5000 0.0000  4 Os 2.72, 4 Li 2.92, 4 Pb 2.92
4 Os 0.0000 0.0000 0.0000  4 Os 2.72, 4 Pb 2.92, 4 Li 2.92



Which of these has the highest energy? ZrTiPb2



Repeat the second record exactly.
This record from Alexandria describes a relaxed LiOs2Pb crystal. The functional is PBE-GGA.

Calculated values
- energy (eV/atom) = -6.282
- space-group type = I4/mmm (139)
- size of the total moment (μB/f.u.) = 0.00
- energy relative to the elements (eV per atom) = 0.74
- density (g/cm³) = 15.23

Lattice parameters (Å, degrees): 5.1571 5.1571 5.1571 136.21 136.21 63.65
Last column: nearest neighbours and their distance in Å.
Element x y z (fractional)
1 Pb 0.2500 0.7500 0.5000  4 Li 2.72, 8 Os 2.92
2 Li 0.7500 0.2500 0.5000  4 Pb 2.72, 8 Os 2.92
3 Os 0.5000 0.5000 0.0000  4 Os 2.72, 4 Li 2.92, 4 Pb 2.92
4 Os 0.0000 0.0000 0.0000  4 Os 2.72, 4 Pb 2.92, 4 Li 2.92